No. 1
LaTc2Pt2: relaxed, PBE.

Geometry as POSCAR:
```
LaTc2Pt2
1.0
-1.902 1.902 6.644
1.902 -1.902 6.644
1.902 1.902 -6.644
La Tc Pt
1 2 2
Cartesian
0.000 0.000 0.000
1.902 0.000 3.322
0.000 1.902 3.322
0.000 0.000 5.276
0.000 0.000 8.012
```

DFT total energy: -7.7925 eV/atom
ρ: 12.5 g/cm³
M_tot: 0.000 μB per atom

No. 2
Sr4Hg3Sb: relaxed, PBE.

Geometry as POSCAR:
```
Sr4Hg3Sb
1.0
0.000 3.983 8.211
3.979 0.000 8.211
3.979 3.983 0.000
Sr Hg Sb
4 3 1
Cartesian
1.990 1.992 2.087
1.990 1.992 6.123
5.969 5.975 10.298
5.969 5.975 14.334
0.000 0.000 0.000
3.979 3.983 4.014
3.979 3.983 12.407
3.979 3.983 8.211
```

DFT total energy: -2.1408 eV/atom
ρ: 6.9 g/cm³
M_tot: 0.000 μB per atom

No. 3
CaHoNpO6: relaxed, PBE.

Geometry as POSCAR:
```
CaHoNpO6
1.0
5.772 0.000 0.000
-2.886 4.999 0.000
0.000 0.000 9.538
Ca Ho Np O
2 2 2 12
Cartesian
0.000 0.000 0.000
0.000 0.000 4.769
0.000 3.333 2.384
2.886 1.666 7.153
0.000 3.333 7.153
2.886 1.666 2.384
-0.907 1.864 6.085
-1.725 3.282 8.221
0.907 1.864 8.221
-0.818 4.852 6.085
2.068 0.147 1.316
1.161 1.717 3.453
1.725 3.282 6.085
0.818 4.852 8.221
3.705 0.147 3.453
1.979 3.135 1.316
4.611 1.717 1.316
3.793 3.135 3.453
```

DFT total energy: -8.4599 eV/atom
ρ: 6.5 g/cm³
M_tot: 0.000 μB per atom

No. 4
MnAs2P: relaxed, PBE.

Geometry as POSCAR:
```
MnAs2P
1.0
3.220 0.000 0.000
0.000 4.532 0.000
0.000 0.000 4.585
Mn As P
1 2 1
Cartesian
0.000 0.000 0.000
0.000 2.266 2.293
1.610 2.266 0.000
1.610 0.000 2.293
```

DFT total energy: -5.5759 eV/atom
ρ: 5.8 g/cm³
M_tot: 0.926 μB per atom

No. 5
BPbIO2: relaxed, PBE.

Geometry as POSCAR:
```
BPbIO2
1.0
4.150 0.000 0.000
0.000 4.150 0.000
0.000 0.000 4.544
B Pb I O
1 1 1 2
Cartesian
0.000 0.000 0.000
2.075 2.075 2.272
0.000 0.000 2.272
0.000 2.075 0.000
2.075 0.000 0.000
```

DFT total energy: -3.9297 eV/atom
ρ: 8.0 g/cm³
M_tot: 0.000 μB per atom

No. 6
AcLaPmPr2: relaxed, PBE.

Geometry as POSCAR:
```
AcLaPmPr2
1.0
8.057 0.000 0.000
0.000 7.308 0.000
-0.171 0.000 6.497
Ac La Pm Pr
2 2 2 4
Cartesian
-0.043 1.209 1.624
-0.128 6.099 4.873
4.029 0.000 0.000
3.943 0.000 3.248
3.986 2.914 1.624
3.900 4.394 4.873
1.552 2.361 4.929
1.637 4.947 1.680
6.249 2.361 4.817
6.335 4.947 1.568
```

DFT total energy: -4.4611 eV/atom
ρ: 6.9 g/cm³
M_tot: 0.000 μB per atom